No. 1
CrCdGe2Br at its PBEsol-relaxed geometry, computed with SCAN.

```
CrCdGe2Br
1.0
-4.910 -0.076 0.835
-0.588 -3.230 -3.746
0.642 -4.065 3.405
Ge Cr Br Cd
2 1 1 1
direct
0.500 0.000 0.000
0.000 0.500 0.000
0.000 0.000 0.500
0.500 0.500 0.500
0.000 0.000 0.000
```

Calculated values
The calculated volume is 26.503 A^3/atom. The calculation puts the raw formation energy at 0.793 eV/atom. The total energy is -102.5 eV/cell.

=====

No. 2
Be2CoReIr at its PBEsol-relaxed geometry, computed with SCAN.

```
Be2CoReIr
1.0
3.857 0.000 0.000
0.000 3.857 0.000
0.000 0.000 4.324
Co Be Re Ir
1 2 1 1
direct
0.000 0.000 0.000
0.000 0.500 0.000
0.500 0.000 0.000
0.000 0.000 0.500
0.500 0.500 0.500
```

Calculated values
The calculated volume is 12.863 A^3/atom. Its energy of formation is 844 meV per atom. The total energy is -164.0 eV/cell.

=====

No. 3
CoRe4Ag at its PBEsol-relaxed geometry, computed with SCAN.

```
CoRe4Ag
1.0
5.103 0.000 0.000
2.552 4.420 0.000
2.552 1.473 4.167
Re Ag Co
4 1 1
direct
0.375 0.375 0.875
0.875 0.375 0.375
0.375 0.375 0.375
0.375 0.875 0.375
0.750 0.750 0.750
0.000 0.000 0.000
```

Calculated values
The calculated volume is 15.663 A^3/atom. Its energy of formation is 779 meV per atom. The total energy is -328.4 eV/cell.

=====

No. 4
ZrAsRu2 at its PBEsol-relaxed geometry, computed with SCAN.

```
ZrAsRu2
1.0
-1.220 -2.632 -1.014
1.300 -2.683 0.744
-4.478 -2.168 6.358
Zr As Ru
1 1 2
direct
0.500 0.500 0.500
0.000 0.000 0.000
0.745 0.745 0.765
0.255 0.255 0.235
```

Calculated values
The calculated volume is 16.099 A^3/atom. Its energy of formation is -64 meV per atom. The total energy is -120.8 eV/cell.

=====

No. 5
In3RePt at its PBEsol-relaxed geometry, computed with SCAN.

```
In3RePt
1.0
-3.290 0.595 3.765
0.595 -4.832 1.283
3.765 1.284 3.087
In Pt Re
3 1 1
direct
0.000 0.500 0.000
0.000 0.000 0.500
0.500 0.000 0.000
0.000 0.000 0.000
0.500 0.500 0.500
```

Calculated values
The calculated volume is 25.533 A^3/atom. Its energy of formation is 938 meV per atom. The total energy is -236.8 eV/cell.

=====

No. 6
FeCoNi2 at its PBEsol-relaxed geometry, computed with SCAN.

```
FeCoNi2
1.0
-1.322 1.924 -0.750
-0.758 0.134 -2.327
-7.492 -3.210 0.965
Ni Co Fe
2 1 1
direct
0.249 0.249 0.252
0.751 0.751 0.748
0.500 0.500 0.500
0.000 0.000 0.000
```

Calculated values
The calculated volume is 10.519 A^3/atom. Its energy of formation is -4 meV per atom. The total energy is -67.8 eV/cell.

=====

No. 7
ZrAlF2 at its PBEsol-relaxed geometry, computed with SCAN.

```
ZrAlF2
1.0
2.900 0.000 0.000
1.450 2.511 0.000
1.450 0.837 7.561
Zr F Al
1 2 1
direct
0.500 0.500 0.500
0.095 0.095 0.714
0.905 0.905 0.286
0.000 0.000 0.000
```

Calculated values
The calculated volume is 13.763 A^3/atom. The calculation puts the raw formation energy at -2.025 eV/atom. The total energy is -53.6 eV/cell.

=====

No. 8
Mg2ScTl at its PBEsol-relaxed geometry, computed with SCAN.

```
Mg2ScTl
1.0
3.373 0.000 0.000
0.000 5.405 0.021
0.000 -1.886 5.065
Mg Sc Tl
2 1 1
direct
0.000 0.500 0.000
0.000 0.000 0.500
0.500 0.000 0.000
0.500 0.500 0.500
```

Calculated values
The calculated volume is 23.115 A^3/atom. Its energy of formation is -136 meV per atom. The total energy is -97.1 eV/cell.

=====

No. 9
CuRe2Hg at its PBEsol-relaxed geometry, computed with SCAN.

```
CuRe2Hg
1.0
2.752 0.000 0.000
-1.376 4.472 -0.005
0.000 -0.671 4.941
Re Hg Cu
2 1 1
direct
0.997 0.994 0.957
0.249 0.498 0.772
0.751 0.502 0.276
0.503 0.007 0.495
```

Calculated values
The calculated volume is 15.198 A^3/atom. Its energy of formation is 584 meV per atom. The total energy is -223.2 eV/cell.

=====

No. 10
Na5SiP3 at its PBEsol-relaxed geometry, computed with SCAN.

```
Na5SiP3
1.0
7.268 0.000 0.000
0.000 7.896 -0.009
0.000 0.158 13.019
P Na Si
12 20 4
direct
0.681 0.414 0.065
0.742 0.338 0.421
0.229 0.078 0.721
0.758 0.838 0.921
0.181 0.086 0.435
0.771 0.922 0.279
0.319 0.586 0.935
0.819 0.914 0.565
0.729 0.422 0.779
0.258 0.662 0.579
0.271 0.578 0.221
0.242 0.162 0.079
0.492 0.813 0.743
0.344 0.422 0.741
0.472 0.838 0.418
0.156 0.922 0.241
0.528 0.162 0.582
0.838 0.077 0.081
0.844 0.078 0.759
0.008 0.313 0.243
0.972 0.662 0.082
0.992 0.687 0.757
0.984 0.673 0.412
0.656 0.578 0.259
0.662 0.577 0.581
0.516 0.173 0.912
0.508 0.187 0.257
0.484 0.827 0.088
0.016 0.327 0.588
0.028 0.338 0.918
0.338 0.423 0.419
0.162 0.923 0.919
0.362 0.429 0.083
0.638 0.571 0.917
0.138 0.929 0.583
0.862 0.071 0.417
```

Calculated values
The calculated volume is 20.753 A^3/atom. The calculation puts the raw formation energy at -0.532 eV/atom. The total energy is -268.3 eV/cell.

=====

No. 11
MgMn2OsRu at its PBEsol-relaxed geometry, computed with SCAN.

```
MgMn2OsRu
1.0
-3.212 -0.730 2.987
3.075 -0.756 3.122
-0.005 4.613 1.122
Ru Mn Mg Os
1 2 1 1
direct
0.500 0.500 0.500
0.000 0.500 0.000
0.500 0.000 0.000
0.000 0.000 0.500
0.000 0.000 0.000
```

Calculated values
The calculated volume is 18.775 A^3/atom. Its energy of formation is 1267 meV per atom. The total energy is -141.9 eV/cell.

=====

No. 12
LaSb2TeS at its PBEsol-relaxed geometry, computed with SCAN.

```
LaSb2TeS
1.0
5.305 0.000 0.000
0.000 5.139 0.000
0.000 0.000 5.139
Sb Te S La
2 1 1 1
direct
0.000 0.000 0.500
0.000 0.500 0.000
0.500 0.000 0.000
0.000 0.000 0.000
0.500 0.500 0.500
```

Calculated values
The calculated volume is 28.022 A^3/atom. The calculation puts the raw formation energy at -0.298 eV/atom. The total energy is -166.0 eV/cell.

=====

No. 13
Li2ZnNi at its PBEsol-relaxed geometry, computed with SCAN.

```
Li2ZnNi
1.0
2.745 0.000 0.000
0.000 2.745 0.000
0.000 0.000 7.183
Li Ni Zn
2 1 1
direct
0.500 0.500 0.291
0.000 0.000 0.975
0.000 0.000 0.514
0.500 0.500 0.719
```

Calculated values
The calculated volume is 13.527 A^3/atom. Its energy of formation is -78 meV per atom. The total energy is -34.8 eV/cell.

=====

No. 14
CuNiRh2 at its PBEsol-relaxed geometry, computed with SCAN.

```
CuNiRh2
1.0
-1.623 -1.718 1.129
0.584 -2.553 -0.008
3.710 -0.518 7.580
Cu Rh Ni
1 2 1
direct
0.503 0.503 0.490
0.997 0.997 0.009
0.751 0.751 0.746
0.248 0.248 0.255
```

Calculated values
The calculated volume is 12.354 A^3/atom. Its energy of formation is 71 meV per atom. The total energy is -98.6 eV/cell.

=====

No. 15
Li2TaFe at its PBEsol-relaxed geometry, computed with SCAN.

```
Li2TaFe
1.0
4.174 0.000 0.000
0.000 4.173 0.000
-2.087 -2.087 2.953
Ta Fe Li
1 1 2
direct
0.500 0.500 0.000
0.750 0.250 0.500
0.000 0.000 0.000
0.250 0.750 0.500
```

Calculated values
The calculated volume is 12.862 A^3/atom. Its energy of formation is 504 meV per atom. The total energy is -87.5 eV/cell.

=====

No. 16
Re2RuSe at its PBEsol-relaxed geometry, computed with SCAN.

```
Re2RuSe
1.0
-0.493 -2.651 1.072
-0.865 -1.492 -4.088
4.403 -1.042 -0.551
Se Ru Re
1 1 2
direct
0.000 0.500 0.500
0.500 0.000 0.500
0.500 0.500 0.000
0.000 0.000 0.000
```

Calculated values
The calculated volume is 14.670 A^3/atom. The calculation puts the raw formation energy at 0.640 eV/atom. The total energy is -194.5 eV/cell.

=====

No. 17
SbTe2Pb at its PBEsol-relaxed geometry, computed with SCAN.

```
SbTe2Pb
1.0
4.496 0.000 0.000
0.000 4.496 0.000
0.000 0.000 6.301
Sb Te Pb
1 2 1
direct
0.500 0.500 0.500
0.000 0.000 0.500
0.500 0.500 0.000
0.000 0.000 0.000
```

Calculated values
The calculated volume is 31.842 A^3/atom. The calculation puts the raw formation energy at -0.153 eV/atom. The total energy is -188.2 eV/cell.

=====

No. 18
Ba5Hf4S13 at its PBEsol-relaxed geometry, computed with SCAN.

```
Ba5Hf4S13
1.0
4.937 0.000 0.000
0.000 4.937 0.000
-2.469 -2.469 22.555
Ba S Hf
5 13 4
direct
0.500 0.500 0.000
0.607 0.607 0.214
0.393 0.393 0.786
0.289 0.289 0.579
0.711 0.711 0.421
0.055 0.555 0.109
0.945 0.445 0.891
0.890 0.890 0.780
0.837 0.337 0.674
0.337 0.837 0.674
0.555 0.055 0.109
0.779 0.779 0.558
0.663 0.163 0.326
0.221 0.221 0.442
0.445 0.945 0.891
0.163 0.663 0.326
0.110 0.110 0.220
0.000 0.000 0.000
0.834 0.834 0.667
0.055 0.055 0.110
0.166 0.166 0.333
0.945 0.945 0.890
```

Calculated values
The calculated volume is 24.992 A^3/atom. The calculation puts the raw formation energy at -2.121 eV/atom. The total energy is -620.3 eV/cell.

=====

No. 19
Hf2HgSe at its PBEsol-relaxed geometry, computed with SCAN.

```
Hf2HgSe
1.0
4.773 0.000 0.000
2.386 4.133 0.000
2.386 1.378 3.897
Hf Hg Se
2 1 1
direct
0.750 0.750 0.750
0.250 0.250 0.250
0.500 0.500 0.500
0.000 0.000 0.000
```

Calculated values
The calculated volume is 19.216 A^3/atom. The calculation puts the raw formation energy at -0.322 eV/atom. The total energy is -214.9 eV/cell.

=====

No. 20
Mg3Bi2 at its PBEsol-relaxed geometry, computed with SCAN.

```
Mg3Bi2
1.0
-4.247 1.558 -1.164
0.835 -4.592 0.180
-1.971 -0.081 7.084
Mg Bi
3 2
direct
0.000 0.000 0.000
0.333 0.667 0.628
0.667 0.333 0.372
0.667 0.333 0.782
0.333 0.667 0.218
```

Calculated values
The calculated volume is 27.784 A^3/atom. Its energy of formation is -247 meV per atom. The total energy is -173.3 eV/cell.